Entry from the Alexandria database: ZrPaNbIr after structural relaxation (GGA-PBE).

Summary:
* energy relative to the elements: -136 kJ/mol of formula units
* raw total energy: -9.595 eV per atom
* symmetry: F-43m

Cell lengths 4.8357, 4.8357, 4.8357 Å; angles 60.00, 60.00, 60.00 degrees
Closest atoms and distances in Å follow each position.
Atoms (fractional coordinates):
Nb: 0.2500 0.2500 0.2500  4 Zr 2.96, 4 Pa 2.96
Ir: 0.7500 0.7500 0.7500  4 Pa 2.96, 4 Zr 2.96
Pa: 0.0000 0.0000 0.0000  4 Nb 2.96, 4 Ir 2.96
Zr: 0.5000 0.5000 0.5000  4 Ir 2.96, 4 Nb 2.96